Here is crystalline La3AsSN at its relaxed geometry from Alexandria via LeMat-Bulk. Energies are from PBE-GGA.

```
La3AsSN
1.0
8.6619 0.0000 0.0000
0.0000 4.1742 0.0000
-1.7521 0.0000 9.2440
La As S N
6 2 2 2
direct
0.0883 0.2500 0.3342
0.3260 0.2500 0.9860
0.4029 0.7500 0.6550
0.5971 0.2500 0.3450
0.6740 0.7500 0.0140
0.9117 0.7500 0.6658
0.3238 0.7500 0.2948
0.6762 0.2500 0.7052
0.1507 0.2500 0.6469
0.8493 0.7500 0.3531
0.4089 0.7500 0.8966
0.5911 0.2500 0.1034
```

Computed properties:
energy relative to the elements, uncorrected = -156.64 kJ per mole of atoms
DOS(E_F) = 2.99 states/eV/f.u.
SG = P2_1/m (11)
theoretical density = 5.34 g cm⁻³

***

Here is crystalline TlZnFe2 at its relaxed geometry from Alexandria via LeMat-Bulk. Energies are from PBE-GGA.

```
TlZnFe2
1.0
4.9251 -1.6065 0.0000
4.9251 1.6065 0.0000
-1.8734 0.0000 3.9457
Tl Zn Fe
1 1 2
direct
0.0000 0.0000 0.0000
0.7766 0.7766 0.2794
0.2334 0.2334 0.7329
0.5345 0.5345 0.5340
```

Computed properties:
DOS(E_F) = 1.64 states/eV/f.u.
SG = Cm (8)
theoretical density = 10.15 g cm⁻³
E above lowest polymorph = 86 meV per atom

***

Here is crystalline Ac2Pm5SmY at its relaxed geometry from Alexandria via LeMat-Bulk. Energies are from PBE-GGA.

```
Ac2Pm5SmY
1.0
2.9246 -10.3419 0.0000
2.9246 10.3419 0.0000
0.0000 0.0000 11.0119
Ac Pm Sm Y
4 10 2 2
direct
0.1115 0.8885 0.5000
0.1184 0.8816 0.0881
0.8816 0.1184 0.5881
0.8885 0.1115 0.0000
0.0195 0.9805 0.7922
0.2830 0.7170 0.0720
0.2959 0.7041 0.4671
0.3948 0.6052 0.7914
0.4801 0.5199 0.5096
0.5199 0.4801 0.0096
0.6052 0.3948 0.2914
0.7041 0.2959 0.9671
0.7170 0.2830 0.5720
0.9805 0.0195 0.2922
0.2074 0.7926 0.7741
0.7926 0.2074 0.2741
0.4095 0.5905 0.2317
0.5905 0.4095 0.7317
```

Computed properties:
DOS(E_F) = 12.66 states/eV/f.u.
SG = Cmc2_1 (36)
E = -83.8 eV for the cell shown
theoretical density = 7.07 g cm⁻³